1.
! Mn2Zn (PBE-GGA, optimized geometry); values from VASP
! Space-group type = No. 225
! Calculated density = 5.86 g/cm³
! DFT total energy = -5.915 eV per atom
&SYSTEM
  ibrav = 0, nat = 3, ntyp = 2
/
ATOMIC_SPECIES
Mn 54.94 Mn.upf
Zn 65.41 Zn.upf
CELL_PARAMETERS angstrom
-1.698 -1.881 -3.258
-0.173 -4.121 -0.144
-3.628 -1.928 0.390
ATOMIC_POSITIONS crystal
Mn 0.750 0.750 0.750
Zn 0.000 0.000 0.000
Mn 0.250 0.250 0.250

---

2.
! Ac2HoMnS6 (PBE-GGA, optimized geometry); values from VASP
! Space-group type = No. 148
! Calculated density = 5.93 g/cm³
! Energy relative to the elements, uncorrected = -1.683 eV/atom
&SYSTEM
  ibrav = 0, nat = 10, ntyp = 4
/
ATOMIC_SPECIES
Ac 227.00 Ac.upf
S 32.06 S.upf
Ho 164.93 Ho.upf
Mn 54.94 Mn.upf
CELL_PARAMETERS angstrom
-4.684 4.645 -2.775
-6.001 -2.381 -3.075
-6.150 1.031 2.868
ATOMIC_POSITIONS crystal
Ac 0.547 0.547 0.360
S 0.166 0.990 0.301
Ho 0.816 0.816 0.552
S 0.642 0.089 0.802
Mn 0.316 0.316 0.052
S 0.990 0.544 0.301
S 0.089 0.467 0.802
S 0.467 0.642 0.802
S 0.543 0.166 0.301
Ac 0.086 0.086 0.743

---

3.
! Sm2Y3Se4 (PBE-GGA, optimized geometry); values from VASP
! Space-group type = No. 12
! Calculated density = 6.18 g/cm³
! Energy relative to the elements, uncorrected = -1.565 eV/atom
&SYSTEM
  ibrav = 0, nat = 9, ntyp = 3
/
ATOMIC_SPECIES
Sm 150.36 Sm.upf
Y 88.91 Y.upf
Se 78.96 Se.upf
CELL_PARAMETERS angstrom
0.585 3.980 0.413
-3.323 1.931 5.902
6.499 0.435 6.403
ATOMIC_POSITIONS crystal
Sm 0.406 0.782 0.405
Y 0.000 0.000 0.000
Se 0.605 0.695 0.094
Sm 0.594 0.218 0.595
Se 0.804 0.091 0.300
Se 0.196 0.909 0.700
Y 0.799 0.609 0.794
Se 0.395 0.305 0.906
Y 0.201 0.391 0.206

---

4.
! ThSc2Re (PBE-GGA, optimized geometry); values from VASP
! Space-group type = No. 62
! Calculated density = 8.75 g/cm³
! Polymorph energy (0 for the lowest one) = 0 meV per atom
&SYSTEM
  ibrav = 0, nat = 16, ntyp = 3
/
ATOMIC_SPECIES
Th 232.04 Th.upf
Sc 44.96 Sc.upf
Re 186.21 Re.upf
CELL_PARAMETERS angstrom
-1.798 -5.285 -2.070
0.517 -2.865 6.867
-8.261 2.206 1.542
ATOMIC_POSITIONS crystal
Th 0.876 0.038 0.250
Th 0.624 0.538 0.250
Sc 0.144 0.671 0.065
Sc 0.356 0.171 0.065
Sc 0.856 0.329 0.935
Th 0.124 0.962 0.750
Th 0.376 0.462 0.750
Re 0.441 0.872 0.250
Sc 0.856 0.329 0.565
Sc 0.144 0.671 0.435
Sc 0.644 0.829 0.565
Sc 0.644 0.829 0.935
Re 0.941 0.628 0.750
Re 0.059 0.372 0.250
Sc 0.356 0.171 0.435
Re 0.559 0.128 0.750

---

5.
! KBe2Rh (PBE-GGA, optimized geometry); values from VASP
! Space-group type = No. 44
! Calculated density = 4.10 g/cm³
! Polymorph energy (0 for the lowest one) = 703 meV per atom
&SYSTEM
  ibrav = 0, nat = 4, ntyp = 3
/
ATOMIC_SPECIES
Rh 102.91 Rh.upf
Be 9.01 Be.upf
K 39.10 K.upf
CELL_PARAMETERS angstrom
-0.328 -5.520 -0.202
2.274 -2.879 4.143
-3.756 3.558 -1.964
ATOMIC_POSITIONS crystal
Rh 0.197 0.697 0.500
Be 0.015 0.015 0.000
K 0.492 0.492 0.000
Be 0.797 0.297 0.500

---

6.
! YErNb (PBE-GGA, optimized geometry); values from VASP
! Space-group type = No. 129
! Calculated density = 7.21 g/cm³
! DFT total energy = -6.934 eV per atom
&SYSTEM
  ibrav = 0, nat = 6, ntyp = 3
/
ATOMIC_SPECIES
Er 167.26 Er.upf
Nb 92.91 Nb.upf
Y 88.91 Y.upf
CELL_PARAMETERS angstrom
-3.292 0.255 -1.205
0.220 -3.262 -1.291
-4.489 -4.757 11.253
ATOMIC_POSITIONS crystal
Er 0.500 0.000 0.409
Nb 0.500 0.000 0.048
Y 0.500 0.000 0.795
Nb 0.000 0.500 0.952
Y 0.000 0.500 0.205
Er 0.000 0.500 0.591